a.
! PmCdInPb, optimized geometry, DFT PBE; values from VASP
&SYSTEM
  ibrav = 0, nat = 4, ntyp = 4
/
ATOMIC_SPECIES
Pb 207.20 Pb.upf
Pm 145.00 Pm.upf
In 114.82 In.upf
Cd 112.41 Cd.upf
CELL_PARAMETERS angstrom
-2.679 -2.186 -4.188
-4.586 -2.778 0.863
-4.769 2.081 -1.557
ATOMIC_POSITIONS crystal
Pb 0.000 0.000 0.000
Pm 0.500 0.500 0.500
In 0.250 0.250 0.250
Cd 0.750 0.750 0.750
! total magnetic moment = 0.000 μB/f.u.
! D(E_F) = 3.87 states/eV per cell

***

b.
! PmCdInPb, optimized geometry, DFT PBE; values from VASP
&SYSTEM
  ibrav = 0, nat = 4, ntyp = 4
/
ATOMIC_SPECIES
Cd 112.41 Cd.upf
Pb 207.20 Pb.upf
In 114.82 In.upf
Pm 145.00 Pm.upf
CELL_PARAMETERS angstrom
4.625 0.000 0.000
0.000 4.735 0.000
0.000 0.000 4.869
ATOMIC_POSITIONS crystal
Cd 0.000 0.000 0.000
Pb 0.500 0.000 0.500
In 0.500 0.500 0.000
Pm 0.000 0.500 0.500
! total magnetic moment = 0.000 μB/f.u.
! D(E_F) = 1.76 states/eV per cell

***

Structures ranked by computed energy, the most stable listed first: b, a.

***

a.
! CdIn2RhPb, optimized geometry, DFT PBE; values from VASP
&SYSTEM
  ibrav = 0, nat = 5, ntyp = 4
/
ATOMIC_SPECIES
In 114.82 In.upf
Rh 102.91 Rh.upf
Pb 207.20 Pb.upf
Cd 112.41 Cd.upf
CELL_PARAMETERS angstrom
5.197 0.000 0.000
0.000 5.197 0.000
0.000 0.000 5.267
ATOMIC_POSITIONS crystal
In 0.000 0.500 0.000
In 0.500 0.000 0.000
Rh 0.000 0.000 0.000
Pb 0.000 0.000 0.500
Cd 0.500 0.500 0.500
! total magnetic moment = 0.000 μB/f.u.
! D(E_F) = 2.13 states/eV per cell

***

b.
! CdIn2RhPb, optimized geometry, DFT PBE; values from VASP
&SYSTEM
  ibrav = 0, nat = 5, ntyp = 4
/
ATOMIC_SPECIES
In 114.82 In.upf
Cd 112.41 Cd.upf
Rh 102.91 Rh.upf
Pb 207.20 Pb.upf
CELL_PARAMETERS angstrom
5.115 0.000 0.000
0.000 5.115 0.000
0.000 0.000 5.248
ATOMIC_POSITIONS crystal
In 0.000 0.500 0.000
In 0.500 0.000 0.000
Cd 0.000 0.000 0.500
Rh 0.000 0.000 0.000
Pb 0.500 0.500 0.500
! total magnetic moment = 0.000 μB/f.u.
! D(E_F) = 2.74 states/eV per cell

***

Structures ranked by computed energy, the most stable listed first: a, b.

***

a.
! SmCdInPb, optimized geometry, DFT PBE; values from VASP
&SYSTEM
  ibrav = 0, nat = 4, ntyp = 4
/
ATOMIC_SPECIES
In 114.82 In.upf
Cd 112.41 Cd.upf
Sm 150.36 Sm.upf
Pb 207.20 Pb.upf
CELL_PARAMETERS angstrom
4.611 0.000 0.000
0.000 4.724 0.000
0.000 0.000 4.861
ATOMIC_POSITIONS crystal
In 0.500 0.500 0.000
Cd 0.000 0.000 0.000
Sm 0.000 0.500 0.500
Pb 0.500 0.000 0.500
! total magnetic moment = 0.000 μB/f.u.
! D(E_F) = 1.70 states/eV per cell

***

b.
! SmCdInPb, optimized geometry, DFT PBE; values from VASP
&SYSTEM
  ibrav = 0, nat = 4, ntyp = 4
/
ATOMIC_SPECIES
Pb 207.20 Pb.upf
Sm 150.36 Sm.upf
In 114.82 In.upf
Cd 112.41 Cd.upf
CELL_PARAMETERS angstrom
-4.971 -0.088 2.070
-3.552 -3.683 -1.680
-1.481 -4.007 3.281
ATOMIC_POSITIONS crystal
Pb 0.500 0.500 0.500
Sm 0.250 0.250 0.250
In 0.000 0.000 0.000
Cd 0.750 0.750 0.750
! total magnetic moment = 0.000 μB/f.u.
! D(E_F) = 2.51 states/eV per cell

***

Structures ranked by computed energy, the most stable listed first: a, b.

***

a.
! TbCdInPb, optimized geometry, DFT PBE; values from VASP
&SYSTEM
  ibrav = 0, nat = 4, ntyp = 4
/
ATOMIC_SPECIES
In 114.82 In.upf
Cd 112.41 Cd.upf
Pb 207.20 Pb.upf
Tb 158.93 Tb.upf
CELL_PARAMETERS angstrom
5.352 0.000 0.000
2.676 4.635 0.000
2.676 1.545 4.370
ATOMIC_POSITIONS crystal
In 0.000 0.000 0.000
Cd 0.750 0.750 0.750
Pb 0.500 0.500 0.500
Tb 0.250 0.250 0.250
! total magnetic moment = 0.000 μB/f.u.
! D(E_F) = 2.42 states/eV per cell

***

b.
! TbCdInPb, optimized geometry, DFT PBE; values from VASP
&SYSTEM
  ibrav = 0, nat = 4, ntyp = 4
/
ATOMIC_SPECIES
In 114.82 In.upf
Cd 112.41 Cd.upf
Tb 158.93 Tb.upf
Pb 207.20 Pb.upf
CELL_PARAMETERS angstrom
-2.135 1.855 -3.588
-3.859 0.570 2.591
1.548 4.378 1.342
ATOMIC_POSITIONS crystal
In 0.000 0.000 0.000
Cd 0.500 0.500 0.000
Tb 0.500 0.000 0.500
Pb 0.000 0.500 0.500
! total magnetic moment = 0.000 μB/f.u.
! D(E_F) = 1.44 states/eV per cell

***

Structures ranked by computed energy, the most stable listed first: b, a.